1.
VASP calculation (PBE) on crystalline RbFePtBr6 at its relaxed geometry.

Cell: 7.311 10.959 7.597 Å, 90.00 95.39 90.00°
Space group C2 (No. 5)
Inequivalent atoms, fractional coordinates:
Rb  0.000  0.000  0.000 [2 per cell]
Fe  0.000  0.372  0.500 [2 per cell]
Pt  0.000  0.714  0.500 [2 per cell]
Br  0.128  0.237  0.722 [4 per cell]
Br  0.130  0.544  0.685 [4 per cell]
Br  0.205  0.871  0.647 [4 per cell]



2.
VASP calculation (PBE) on crystalline SrFePtBr2 at its relaxed geometry.

Cell: 5.315 5.315 4.888 Å, 90.00 90.00 90.00°
Space group P4/mmm (No. 123)
Inequivalent atoms, fractional coordinates:
Sr  0.000  0.000  0.000 [1 per cell]
Fe  0.500  0.500  0.000 [1 per cell]
Pt  0.500  0.500  0.500 [1 per cell]
Br  0.000  0.500  0.500 [2 per cell]



3.
VASP calculation (PBE) on crystalline Ta2FePtBr at its relaxed geometry.

Cell: 4.953 4.953 4.808 Å, 90.00 90.00 90.00°
Space group P4/mmm (No. 123)
Inequivalent atoms, fractional coordinates:
Ta  0.000  0.500  0.000 [2 per cell]
Fe  0.000  0.000  0.500 [1 per cell]
Pt  0.000  0.000  0.000 [1 per cell]
Br  0.500  0.500  0.500 [1 per cell]



Number 1: magnetization 1.9 Bohr magnetons per cell, E_form (uncorrected) -504 meV per atom. Number 2: magnetization 3.1 Bohr magnetons per cell, E_form (uncorrected) -124 meV per atom. Number 3: magnetization 1.9 Bohr magnetons per cell, E_form (uncorrected) 1201 meV per atom.